# 1
A plane-wave DFT calculation with PBE-GGA was carried out for crystalline RbSr6 at its relaxed geometry.

The structure in CIF format:
```
data_RbSr6
_cell_length_a 11.2133
_cell_length_b 11.2133
_cell_length_c 11.2133
_cell_angle_alpha 90.00
_cell_angle_beta 90.00
_cell_angle_gamma 90.00
_space_group_name_H-M_alt 'I m -3 m'
_space_group_IT_number 229
_space_group_name_Hall '-I 4 2 3'
loop_
_atom_site_label
_atom_site_type_symbol
_atom_site_fract_x
_atom_site_fract_y
_atom_site_fract_z
Rb1 Rb 0.0000 0.0000 0.0000
Sr1 Sr 0.0000 0.2500 0.5000
```

Calculated values
Raw total energy in eV/atom: -0.82
V in Å³ per atom: 100.7
ρ in g cm⁻³: 1.440
DFT formation energy in eV/atom: 0.765

# 2
A plane-wave DFT calculation with PBE-GGA was carried out for crystalline ZrTaTe2 at its relaxed geometry.

The structure in CIF format:
```
data_ZrTaTe2
_cell_length_a 3.7898
_cell_length_b 4.4506
_cell_length_c 14.3887
_cell_angle_alpha 90.00
_cell_angle_beta 90.00
_cell_angle_gamma 90.00
_space_group_name_H-M_alt 'I m m m'
_space_group_IT_number 71
_space_group_name_Hall '-I 2 2'
loop_
_atom_site_label
_atom_site_type_symbol
_atom_site_fract_x
_atom_site_fract_y
_atom_site_fract_z
Zr1 Zr 0.0000 0.0000 0.0000
Ta1 Ta 0.0000 0.0000 0.5000
Te1 Te 0.0000 0.5000 0.1454
```

Calculated values
Raw total energy in eV/atom: -6.97
V in Å³ per atom: 30.3
Formation energy (no corrections) in meV/atom: -302
Energy above the lowest structure with this stoichiometry in kcal/mol of atoms: 2.51
ρ in g cm⁻³: 7.217

# 3
A plane-wave DFT calculation with PBE-GGA was carried out for crystalline BaSc2Te at its relaxed geometry.

The structure in CIF format:
```
data_BaSc2Te
_cell_length_a 6.8112
_cell_length_b 11.4215
_cell_length_c 3.8452
_cell_angle_alpha 90.00
_cell_angle_beta 124.01
_cell_angle_gamma 90.00
_space_group_name_H-M_alt 'C 1 2/m 1'
_space_group_IT_number 12
loop_
_space_group_symop_operation_xyz
'x,y,z'
'-x,-y,-z'
'-x,y,-z'
'x,-y,z'
'x+1/2,y+1/2,z'
'-x+1/2,-y+1/2,-z'
'-x+1/2,y+1/2,-z'
'x+1/2,-y+1/2,z'
loop_
_atom_site_label
_atom_site_type_symbol
_atom_site_fract_x
_atom_site_fract_y
_atom_site_fract_z
Ba1 Ba 0.0000 0.0000 0.0000
Sc1 Sc 0.2500 0.2500 0.5000
Te1 Te 0.0000 0.5000 0.0000
```

Calculated values
Raw total energy in eV/atom: -4.60
V in Å³ per atom: 31.0
Formation energy (no corrections) in meV/atom: -172
ρ in g cm⁻³: 4.752

# 4
A plane-wave DFT calculation with PBE-GGA was carried out for crystalline NiAuBr2 at its relaxed geometry.

The structure in CIF format:
```
data_NiAuBr2
_cell_length_a 3.7164
_cell_length_b 3.7363
_cell_length_c 7.4625
_cell_angle_alpha 90.00
_cell_angle_beta 90.00
_cell_angle_gamma 90.00
_space_group_name_H-M_alt 'P m m m'
_space_group_IT_number 47
loop_
_space_group_symop_operation_xyz
'x,y,z'
'-x,-y,-z'
'-x,-y,z'
'x,y,-z'
'x,-y,-z'
'-x,y,z'
'-x,y,-z'
'x,-y,z'
loop_
_atom_site_label
_atom_site_type_symbol
_atom_site_fract_x
_atom_site_fract_y
_atom_site_fract_z
Ni1 Ni 0.0000 0.0000 0.0000
Au1 Au 0.5000 0.0000 0.5000
Br1 Br 0.0000 0.5000 0.5000
Br2 Br 0.5000 0.5000 0.0000
```

Calculated values
Raw total energy in eV/atom: -2.76
V in Å³ per atom: 25.9
Formation energy (no corrections) in meV/atom: 342
Energy above the lowest structure with this stoichiometry in kcal/mol of atoms: 8.08
ρ in g cm⁻³: 6.658

# 5
A plane-wave DFT calculation with PBE-GGA was carried out for crystalline RbTaHg at its relaxed geometry.

The structure in CIF format:
```
data_RbTaHg
_cell_length_a 3.5334
_cell_length_b 3.5336
_cell_length_c 14.7187
_cell_angle_alpha 88.75
_cell_angle_beta 89.73
_cell_angle_gamma 90.00
_space_group_name_H-M_alt 'P -1'
_space_group_IT_number 2
loop_
_space_group_symop_operation_xyz
'x,y,z'
'-x,-y,-z'
loop_
_atom_site_label
_atom_site_type_symbol
_atom_site_fract_x
_atom_site_fract_y
_atom_site_fract_z
Rb1 Rb 0.2428 0.2177 0.3454
Ta1 Ta 0.2492 0.2461 0.0423
Hg1 Hg 0.2534 0.2657 0.8333
```

Calculated values
Raw total energy in eV/atom: -4.02
V in Å³ per atom: 30.6
Energy above the lowest structure with this stoichiometry in kcal/mol of atoms: 0.00
ρ in g cm⁻³: 8.442
DFT formation energy in eV/atom: 0.350

# 6
A plane-wave DFT calculation with PBE-GGA was carried out for crystalline Zr5TiZn3 at its relaxed geometry.

The structure in CIF format:
```
data_Zr5TiZn3
_cell_length_a 8.3270
_cell_length_b 8.3270
_cell_length_c 5.8923
_cell_angle_alpha 90.00
_cell_angle_beta 90.00
_cell_angle_gamma 120.00
_space_group_name_H-M_alt 'P 63/m c m'
_space_group_IT_number 193
_space_group_name_Hall '-P 6c 2'
loop_
_atom_site_label
_atom_site_type_symbol
_atom_site_fract_x
_atom_site_fract_y
_atom_site_fract_z
Zr1 Zr 0.0000 0.3202 0.2500
Zr2 Zr 0.3333 0.6667 0.0000
Ti1 Ti 0.0000 0.0000 0.0000
Zn1 Zn 0.0000 0.3397 0.7500
```

Calculated values
Raw total energy in eV/atom: -6.17
V in Å³ per atom: 19.7
ρ in g cm⁻³: 6.572
DFT formation energy in eV/atom: -0.119